BaCuTe2S4 after structural relaxation, computed with PBE-GGA.

Results
formation energy from raw total energies	-0.5224	eV/atom
SG	I-42m, No. 121
E	-4.1239	eV per atom
DOS at the Fermi energy	3.51	states/eV/cell

Unit cell a=6.3937 b=6.3937 c=6.3937 alpha=112.13 beta=112.13 gamma=104.27
Closest atoms and distances in Å follow each position.
Element x y z (fractional)
Ba: 0.0000 0.0000 0.0000  8 S 3.29-3.35
Cu: 0.5000 0.5000 0.0000  4 S 2.33
Te: 0.2500 0.7500 0.5000  4 S 2.68
Te: 0.7500 0.2500 0.5000  4 S 2.68
S: 0.1442 0.5309 0.0000  1 Cu 2.33
S: 0.4691 0.4691 0.6133  1 Cu 2.33
S: 0.5309 0.1442 0.0000  1 Cu 2.33
S: 0.8558 0.8558 0.3867  1 Cu 2.33


BaCu4Te3S12 after structural relaxation, computed with PBE-GGA.

Results
formation energy from raw total energies	-0.0333	eV/atom
SG	R32, No. 155
E	-3.8964	eV per atom
DOS at the Fermi energy	12.61	states/eV/cell

Unit cell a=8.3132 b=8.3132 c=8.3132 alpha=104.87 beta=104.87 gamma=104.87
Closest atoms and distances in Å follow each position.
Element x y z (fractional)
Ba: 0.0000 0.0000 0.0000  6 S 3.26
Cu: 0.0969 0.5000 0.9031  3 S 2.15-2.26
Cu: 0.5000 0.5000 0.5000  3 S 2.18
Cu: 0.5000 0.9031 0.0969  3 S 2.15-2.26
Cu: 0.9031 0.0969 0.5000  3 S 2.15-2.26
Te: 0.0000 0.5699 0.4301  6 S 2.51-2.73
Te: 0.4301 0.0000 0.5699  6 S 2.51-2.73
Te: 0.5699 0.4301 0.0000  6 S 2.51-2.73
S: 0.0234 0.2670 0.3758  1 Cu 2.15
S: 0.0746 0.9254 0.5000  1 Cu 2.26
S: 0.2670 0.3758 0.0234  1 Cu 2.15
S: 0.3345 0.6655 0.5000  1 Cu 2.18
S: 0.3758 0.0234 0.2670  1 Cu 2.15
S: 0.5000 0.0746 0.9254  1 Cu 2.26
S: 0.5000 0.3345 0.6655  1 Cu 2.18
S: 0.6242 0.7330 0.9766  1 Cu 2.15
S: 0.6655 0.5000 0.3345  1 Cu 2.18
S: 0.7330 0.9766 0.6242  1 Cu 2.15
S: 0.9254 0.5000 0.0746  1 Cu 2.26
S: 0.9766 0.6242 0.7330  1 Cu 2.15


Ba2Cu2TeS6 after structural relaxation, computed with PBE-GGA.

Results
formation energy from raw total energies	-0.7281	eV/atom
SG	C2/m, No. 12
E	-4.3593	eV per atom
DOS at the Fermi energy	7.72	states/eV/cell

Unit cell a=6.9874 b=6.9874 c=7.7077 alpha=114.12 beta=114.12 gamma=59.14
Closest atoms and distances in Å follow each position.
Element x y z (fractional)
Ba: 0.2164 0.2164 0.2034  5 S 3.15-3.37
Ba: 0.7836 0.7836 0.7966  5 S 3.15-3.37
Cu: 0.4427 0.4427 0.7460  3 S 2.16-2.20
Cu: 0.5573 0.5573 0.2540  3 S 2.16-2.20
Te: 0.0000 0.0000 0.5000  6 S 2.60-2.64
S: 0.1862 0.7128 0.2026  1 Cu 2.16
S: 0.2394 0.2394 0.6282  1 Cu 2.20
S: 0.2872 0.8138 0.7974  1 Cu 2.16
S: 0.7128 0.1862 0.2026  1 Cu 2.16
S: 0.7606 0.7606 0.3718  1 Cu 2.20
S: 0.8138 0.2872 0.7974  1 Cu 2.16


BaCu2TeS4 after structural relaxation, computed with PBE-GGA.

Results
formation energy from raw total energies	-0.5054	eV/atom
SG	I222, No. 23
E	-4.2262	eV per atom

Unit cell a=6.4966 b=6.4966 c=6.4966 alpha=119.60 beta=108.74 gamma=100.65
Closest atoms and distances in Å follow each position.
Element x y z (fractional)
Ba: 0.0000 0.0000 0.0000  8 S 3.31-3.35
Cu: 0.3332 0.8332 0.5000  2 S 2.17
Cu: 0.6668 0.1668 0.5000  2 S 2.17
Te: 0.5000 0.5000 0.0000  4 S 2.60
S: 0.1331 0.0697 0.5801  1 Cu 2.17
S: 0.4896 0.5531 0.4199  1 Cu 2.17
S: 0.5104 0.9303 0.0634  1 Cu 2.17
S: 0.8669 0.4469 0.9366  1 Cu 2.17


Ba3CuTe2S6 after structural relaxation, computed with PBE-GGA.

Results
formation energy from raw total energies	-0.9057	eV/atom
SG	P-3m1, No. 164
E	-4.3151	eV per atom
DOS at the Fermi energy	3.08	states/eV/cell

Unit cell a=7.0603 b=7.0603 c=7.8300 alpha=90.00 beta=90.00 gamma=120.00
Closest atoms and distances in Å follow each position.
Element x y z (fractional)
Ba: 0.0000 0.0000 0.0000  6 S 3.15
Ba: 0.3333 0.6667 0.6246  9 S 3.22-3.57
Ba: 0.6667 0.3333 0.3754  9 S 3.22-3.57
Cu: 0.0000 0.0000 0.5000  6 S 2.47
Te: 0.3333 0.6667 0.1208  3 S 2.57
Te: 0.6667 0.3333 0.8792  3 S 2.57
S: 0.1622 0.3243 0.3119  1 Cu 2.47, 1 Te 2.57
S: 0.1622 0.8378 0.3119  1 Cu 2.47, 1 Te 2.57
S: 0.3243 0.1622 0.6881  1 Cu 2.47, 1 Te 2.57
S: 0.6757 0.8378 0.3119  1 Cu 2.47, 1 Te 2.57
S: 0.8378 0.1622 0.6881  1 Cu 2.47, 1 Te 2.57
S: 0.8378 0.6757 0.6881  1 Cu 2.47, 1 Te 2.57


BaCu2TeS after structural relaxation, computed with PBE-GGA.

Results
formation energy from raw total energies	1.0111	eV/atom
SG	P4/mmm, No. 123
E	-2.4657	eV per atom
DOS at the Fermi energy	5.41	states/eV/cell

Unit cell a=5.5712 b=5.5712 c=5.5314 alpha=90.00 beta=90.00 gamma=90.00
Closest atoms and distances in Å follow each position.
Element x y z (fractional)
Ba: 0.0000 0.0000 0.0000  2 S 2.77, 4 Cu 2.79
Cu: 0.0000 0.5000 0.0000  2 Ba 2.79
Cu: 0.5000 0.0000 0.0000  2 Ba 2.79
Te: 0.5000 0.5000 0.5000  8 Cu 3.93, 4 S 3.94
S: 0.0000 0.0000 0.5000  2 Ba 2.77


BaThCuS4 after structural relaxation, computed with PBE-GGA.

Results
formation energy from raw total energies	-1.5296	eV/atom
SG	P2_1/m, No. 11
E	-5.8079	eV per atom
DOS at the Fermi energy	3.72	states/eV/cell

Unit cell a=6.8502 b=5.8270 c=8.7342 alpha=90.00 beta=107.16 gamma=90.00
Closest atoms and distances in Å follow each position.
Element x y z (fractional)
Ba: 0.2373 0.2500 0.4385  8 S 3.13-3.36
Ba: 0.7627 0.7500 0.5615  8 S 3.13-3.36
Th: 0.2357 0.2500 0.9399  8 S 2.77-3.09
Th: 0.7643 0.7500 0.0601  8 S 2.77-3.09
Cu: 0.2598 0.7500 0.1805  4 S 2.27-2.30
Cu: 0.7402 0.2500 0.8195  4 S 2.27-2.30
S: 0.0636 0.7500 0.3530  1 Cu 2.30
S: 0.0782 0.7500 0.9136  1 Cu 2.30
S: 0.4856 0.5134 0.7808  1 Cu 2.27
S: 0.4856 0.9866 0.7808  1 Cu 2.27
S: 0.5144 0.0134 0.2192  1 Cu 2.27
S: 0.5144 0.4866 0.2192  1 Cu 2.27
S: 0.9218 0.2500 0.0864  1 Cu 2.30
S: 0.9364 0.2500 0.6470  1 Cu 2.30


Ba2ThCuS5 after structural relaxation, computed with PBE-GGA.

Results
formation energy from raw total energies	-1.6192	eV/atom
SG	Cmc2_1, No. 36
E	-5.6191	eV per atom
DOS at the Fermi energy	9.10	states/eV/cell

Unit cell a=9.3184 b=9.3184 c=12.9655 alpha=90.00 beta=90.00 gamma=154.11
Closest atoms and distances in Å follow each position.
Element x y z (fractional)
Ba: 0.1183 0.8817 0.5000  7 S 3.16-3.41
Ba: 0.1201 0.8799 0.1453  8 S 3.14-3.50
Ba: 0.8799 0.1201 0.6453  8 S 3.14-3.50
Ba: 0.8817 0.1183 0.0000  7 S 3.16-3.41
Th: 0.1947 0.8053 0.8256  6 S 2.71-2.86
Th: 0.8053 0.1947 0.3256  6 S 2.71-2.86
Cu: 0.4462 0.5538 0.2282  3 S 2.25-2.29
Cu: 0.5538 0.4462 0.7282  3 S 2.25-2.29
S: 0.0383 0.9617 0.7984  2 Cu 2.29
S: 0.3049 0.6951 0.4692  2 Th 2.80
S: 0.3071 0.6929 0.1800  1 Cu 2.60, 2 Th 2.81
S: 0.3441 0.6559 0.8235  1 Th 2.71
S: 0.4985 0.5015 0.5730  1 Cu 2.25
S: 0.5015 0.4985 0.0730  1 Cu 2.25
S: 0.6559 0.3441 0.3235  1 Th 2.71
S: 0.6929 0.3071 0.6800  1 Cu 2.60, 2 Th 2.81
S: 0.6951 0.3049 0.9692  2 Th 2.80
S: 0.9617 0.0383 0.2984  2 Cu 2.29


Ba2TiCuS5 after structural relaxation, computed with PBE-GGA.

Results
formation energy from raw total energies	-1.3383	eV/atom
SG	Cmc2_1, No. 36
E	-5.3910	eV per atom
DOS at the Fermi energy	9.23	states/eV/cell

Unit cell a=9.3175 b=9.3175 c=12.4434 alpha=90.00 beta=90.00 gamma=156.00
Closest atoms and distances in Å follow each position.
Element x y z (fractional)
Ba: 0.1206 0.8794 0.5000  7 S 3.09-3.32
Ba: 0.1268 0.8732 0.1158  7 S 3.09-3.29
Ba: 0.8732 0.1268 0.6158  7 S 3.09-3.29
Ba: 0.8794 0.1206 0.0000  7 S 3.09-3.32
Ti: 0.2072 0.7928 0.8175  6 S 2.37-2.56
Ti: 0.7928 0.2072 0.3175  6 S 2.37-2.56
Cu: 0.4301 0.5699 0.2453  4 S 2.24-2.47
Cu: 0.5699 0.4301 0.7453  4 S 2.24-2.47
S: 0.0711 0.9289 0.8403  2 Cu 2.27, 1 Ti 2.50
S: 0.2914 0.7086 0.4473  2 Ti 2.52
S: 0.3013 0.6987 0.1842  1 Cu 2.47, 2 Ti 2.56
S: 0.3373 0.6627 0.8108  1 Ti 2.37
S: 0.4955 0.5045 0.0933  1 Cu 2.24
S: 0.5045 0.4955 0.5933  1 Cu 2.24
S: 0.6627 0.3373 0.3108  1 Ti 2.37
S: 0.6987 0.3013 0.6842  1 Cu 2.47, 2 Ti 2.56
S: 0.7086 0.2914 0.9473  2 Ti 2.52
S: 0.9289 0.0711 0.3403  2 Cu 2.27, 1 Ti 2.50


BaTiCu2S4 after structural relaxation, computed with PBE-GGA.

Results
formation energy from raw total energies	-1.0864	eV/atom
SG	I222, No. 23
E	-5.4014	eV per atom

Unit cell a=6.3622 b=6.3622 c=6.3622 alpha=123.63 beta=107.31 gamma=98.55
Closest atoms and distances in Å follow each position.
Element x y z (fractional)
Ba: 0.0000 0.0000 0.0000  8 S 3.31
Ti: 0.5000 0.5000 0.0000  4 S 2.30
Cu: 0.3484 0.8484 0.5000  2 S 2.19
Cu: 0.6516 0.1516 0.5000  2 S 2.19
S: 0.1576 0.5435 0.0353  1 Cu 2.19, 1 Ti 2.30
S: 0.4919 0.4565 0.6142  1 Cu 2.19, 1 Ti 2.30
S: 0.5081 0.1223 0.9647  1 Cu 2.19, 1 Ti 2.30
S: 0.8424 0.8777 0.3858  1 Cu 2.19, 1 Ti 2.30


Ba3TlCu2S6 after structural relaxation, computed with PBE-GGA.

Results
formation energy from raw total energies	-0.9170	eV/atom
SG	P-3m1, No. 164
E	-4.3413	eV per atom
DOS at the Fermi energy	6.14	states/eV/cell

Unit cell a=7.3701 b=7.3701 c=7.9488 alpha=90.00 beta=90.00 gamma=120.00
Closest atoms and distances in Å follow each position.
Element x y z (fractional)
Ba: 0.0000 0.0000 0.0000  6 S 3.16
Ba: 0.3333 0.6667 0.6220  1 Cu 3.21, 3 S 3.37
Ba: 0.6667 0.3333 0.3780  1 Cu 3.21, 3 S 3.37
Tl: 0.0000 0.0000 0.5000  6 S 2.72
Cu: 0.3333 0.6667 0.2177  3 S 2.18
Cu: 0.6667 0.3333 0.7823  3 S 2.18
S: 0.1688 0.3375 0.2907  1 Cu 2.18
S: 0.1688 0.8312 0.2907  1 Cu 2.18
S: 0.3375 0.1688 0.7093  1 Cu 2.18
S: 0.6625 0.8312 0.2907  1 Cu 2.18
S: 0.8312 0.1688 0.7093  1 Cu 2.18
S: 0.8312 0.6625 0.7093  1 Cu 2.18


BaTmCu2S4 after structural relaxation, computed with PBE-GGA.

Results
formation energy from raw total energies	-1.1294	eV/atom
SG	I222, No. 23
E	-5.0165	eV per atom
DOS at the Fermi energy	2.97	states/eV/cell

Unit cell a=6.2739 b=6.2739 c=6.2739 alpha=116.55 beta=116.05 gamma=96.54
Closest atoms and distances in Å follow each position.
Element x y z (fractional)
Ba: 0.0000 0.0000 0.0000  8 S 3.15-3.22
Tm: 0.5000 0.5000 0.0000  4 S 2.60
Cu: 0.2548 0.7548 0.5000  4 S 2.38-2.43
Cu: 0.7452 0.2452 0.5000  4 S 2.38-2.43
S: 0.0897 0.0867 0.5719  2 Cu 2.38-2.43, 1 Tm 2.60
S: 0.4853 0.9133 0.0030  2 Cu 2.38-2.43, 1 Tm 2.60
S: 0.5147 0.5177 0.4281  2 Cu 2.38-2.43, 1 Tm 2.60
S: 0.9103 0.4823 0.9970  2 Cu 2.38-2.43, 1 Tm 2.60